VASP calculation (PBE+U) on Be3CrO after structural relaxation.

Electronic total energy: -14.454 eV per cell
Crystal system: cubic
Distance to the lowest polymorph of the same formula: 1.918 eV per atom

Cell: 4.4686 4.4686 4.4686 Å, 90.00 90.00 90.00°
Each line ends with the local moment (μB).
Positions (direct):
Cr: 0.0000 0.0000 0.0000  4.21
Be: 0.5000 0.0000 0.0000  0.16
Be: 0.0000 0.0000 0.5000  0.08
Be: 0.0000 0.5000 0.0000  0.17
O: 0.5000 0.5000 0.5000  1.03